Entry 1:
{
  "formula": "Hf3CdB",
  "functional": "PBE",
  "state": "optimized geometry",
  "lattice": [[4.604, 0.000, 0.000], [0.000, 4.604, 0.000], [0.000, 0.000, 4.604]],
  "species": ["B", "Hf", "Hf", "Hf", "Cd"],
  "frac_coords": [[0.000, 0.000, 0.000], [0.000, 0.500, 0.000], [0.000, 0.000, 0.500], [0.500, 0.000, 0.000], [0.500, 0.500, 0.500]],
  "magnetic_moment_mub_per_cell": 0.00,
  "crystal_system": "cubic",
  "e_above_lowest_polymorph_mev_per_atom": 0,
  "formation_energy_ev_per_atom": -0.249
}

Entry 2:
{
  "formula": "Hf2CdB",
  "functional": "PBE",
  "state": "optimized geometry",
  "lattice": [[3.386, 0.000, 0.000], [1.693, 2.932, 0.000], [1.693, 0.977, 7.615]],
  "species": ["B", "Hf", "Hf", "Cd"],
  "frac_coords": [[0.000, 0.000, 0.000], [0.277, 0.277, 0.169], [0.723, 0.723, 0.831], [0.500, 0.500, 0.500]],
  "magnetic_moment_mub_per_cell": 0.00,
  "crystal_system": "trigonal",
  "e_above_lowest_polymorph_mev_per_atom": 0,
  "formation_energy_ev_per_atom": -0.323
}

Entry 3:
{
  "formula": "Hf2CdB",
  "functional": "PBE",
  "state": "optimized geometry",
  "lattice": [[7.055, 0.000, 0.000], [0.000, 7.055, 0.000], [3.527, 3.527, 3.049]],
  "species": ["B", "B", "Hf", "Hf", "Hf", "Hf", "Cd", "Cd"],
  "frac_coords": [[0.500, 0.500, 0.000], [0.250, 0.750, 0.500], [0.559, 0.125, 0.250], [0.191, 0.625, 0.250], [0.375, 0.441, 0.750], [0.875, 0.809, 0.750], [0.000, 0.000, 0.000], [0.750, 0.250, 0.500]],
  "magnetic_moment_mub_per_cell": 0.00,
  "crystal_system": "tetragonal",
  "e_above_lowest_polymorph_mev_per_atom": 543,
  "formation_energy_ev_per_atom": 0.220
}

Entry 4:
{
  "formula": "HfCdB2",
  "functional": "PBE",
  "state": "optimized geometry",
  "lattice": [[4.239, 0.000, 0.000], [0.000, 4.239, 0.000], [2.119, 2.119, 7.087]],
  "species": ["B", "B", "B", "B", "Hf", "Hf", "Cd", "Cd"],
  "frac_coords": [[0.557, 0.125, 0.250], [0.193, 0.625, 0.250], [0.375, 0.443, 0.750], [0.875, 0.807, 0.750], [0.000, 0.000, 0.000], [0.750, 0.250, 0.500], [0.500, 0.500, 0.000], [0.250, 0.750, 0.500]],
  "magnetic_moment_mub_per_cell": 0.00,
  "crystal_system": "tetragonal",
  "formation_energy_ev_per_atom": 0.917
}

Entry 5:
{
  "formula": "HfCd3B",
  "functional": "PBE",
  "state": "optimized geometry",
  "lattice": [[4.607, 0.000, 0.000], [0.000, 4.607, 0.000], [0.000, 0.000, 4.607]],
  "species": ["B", "Hf", "Cd", "Cd", "Cd"],
  "frac_coords": [[0.000, 0.000, 0.000], [0.500, 0.500, 0.500], [0.000, 0.500, 0.000], [0.000, 0.000, 0.500], [0.500, 0.000, 0.000]],
  "magnetic_moment_mub_per_cell": 0.00,
  "crystal_system": "cubic",
  "e_above_lowest_polymorph_mev_per_atom": 0,
  "formation_energy_ev_per_atom": 0.754
}

Entry 6:
{
  "formula": "Hf2CdB",
  "functional": "PBE",
  "state": "optimized geometry",
  "lattice": [[0.000, 3.269, 3.269], [3.269, 0.000, 3.269], [3.269, 3.269, 0.000]],
  "species": ["B", "Hf", "Hf", "Cd"],
  "frac_coords": [[0.000, 0.000, 0.000], [0.250, 0.250, 0.250], [0.750, 0.750, 0.750], [0.500, 0.500, 0.500]],
  "magnetic_moment_mub_per_cell": 0.00,
  "crystal_system": "cubic",
  "e_above_lowest_polymorph_mev_per_atom": 763,
  "formation_energy_ev_per_atom": 0.440
}

Entry 7:
{
  "formula": "HfCd2B",
  "functional": "PBE",
  "state": "optimized geometry",
  "lattice": [[7.800, 0.000, 0.000], [0.000, 7.800, 0.000], [3.900, 3.900, 2.448]],
  "species": ["B", "B", "Hf", "Hf", "Cd", "Cd", "Cd", "Cd"],
  "frac_coords": [[0.500, 0.500, 0.000], [0.250, 0.750, 0.500], [0.000, 0.000, 0.000], [0.750, 0.250, 0.500], [0.542, 0.125, 0.250], [0.208, 0.625, 0.250], [0.375, 0.458, 0.750], [0.875, 0.792, 0.750]],
  "magnetic_moment_mub_per_cell": 0.00,
  "crystal_system": "tetragonal",
  "formation_energy_ev_per_atom": 0.466
}

Entry 8:
{
  "formula": "HfCdB3",
  "functional": "PBE",
  "state": "optimized geometry",
  "lattice": [[-2.111, 1.785, -3.194], [1.193, -3.150, -2.549], [-3.459, -2.176, 1.070]],
  "species": ["B", "B", "B", "Hf", "Cd"],
  "frac_coords": [[0.000, 0.500, 0.000], [0.000, 0.000, 0.500], [0.500, 0.000, 0.000], [0.500, 0.500, 0.500], [0.000, 0.000, 0.000]],
  "magnetic_moment_mub_per_cell": 0.00,
  "crystal_system": "cubic",
  "e_above_lowest_polymorph_mev_per_atom": 330,
  "formation_energy_ev_per_atom": 1.945
}

Entry 9:
{
  "formula": "HfCdB3",
  "functional": "PBE",
  "state": "optimized geometry",
  "lattice": [[-0.258, -4.299, 1.088], [4.318, 0.005, 1.042], [-1.010, 1.118, 4.179]],
  "species": ["B", "B", "B", "Hf", "Cd"],
  "frac_coords": [[0.000, 0.500, 0.000], [0.000, 0.000, 0.500], [0.500, 0.000, 0.000], [0.000, 0.000, 0.000], [0.500, 0.500, 0.500]],
  "magnetic_moment_mub_per_cell": 0.00,
  "crystal_system": "cubic",
  "e_above_lowest_polymorph_mev_per_atom": 0,
  "formation_energy_ev_per_atom": 1.615
}

Entry 10:
{
  "formula": "Hf2CdB2",
  "functional": "PBE",
  "state": "optimized geometry",
  "lattice": [[-2.257, -6.031, -0.089], [2.012, -0.843, 6.060], [-3.022, 1.114, 1.158]],
  "species": ["B", "B", "B", "B", "Hf", "Hf", "Hf", "Hf", "Cd", "Cd"],
  "frac_coords": [[0.405, 0.905, 0.000], [0.905, 0.595, 0.000], [0.595, 0.095, 0.000], [0.095, 0.405, 0.000], [0.178, 0.678, 0.500], [0.678, 0.822, 0.500], [0.822, 0.322, 0.500], [0.322, 0.178, 0.500], [0.000, 0.000, 0.000], [0.500, 0.500, 0.000]],
  "magnetic_moment_mub_per_cell": 0.00,
  "crystal_system": "tetragonal",
  "formation_energy_ev_per_atom": -0.393
}

Entry 11:
{
  "formula": "HfCd3B",
  "functional": "PBE",
  "state": "optimized geometry",
  "lattice": [[5.608, 0.000, 0.000], [0.000, 5.608, 0.000], [0.000, 0.000, 5.608]],
  "species": ["B", "Hf", "Cd", "Cd", "Cd"],
  "frac_coords": [[0.500, 0.500, 0.500], [0.000, 0.000, 0.000], [0.000, 0.500, 0.000], [0.000, 0.000, 0.500], [0.500, 0.000, 0.000]],
  "magnetic_moment_mub_per_cell": 1.42,
  "crystal_system": "cubic",
  "e_above_lowest_polymorph_mev_per_atom": 1095,
  "formation_energy_ev_per_atom": 1.850
}

Entry 12:
{
  "formula": "Hf2CdBI",
  "functional": "PBE",
  "state": "optimized geometry",
  "lattice": [[5.403, 0.000, 0.000], [0.000, 3.966, 0.000], [0.000, 0.000, 5.403]],
  "species": ["I", "B", "Hf", "Hf", "Cd"],
  "frac_coords": [[0.500, 0.500, 0.500], [0.000, 0.500, 0.000], [0.000, 0.000, 0.500], [0.500, 0.000, 0.000], [0.000, 0.000, 0.000]],
  "magnetic_moment_mub_per_cell": 0.00,
  "crystal_system": "tetragonal",
  "formation_energy_uncorrected_ev_per_atom": 1.2595
}